Computed, not measured: a relaxed Ti3CoIr crystal at the PBE-GGA level of DFT.

```
data_Ti3CoIr
_chemical_formula_sum 'Ti3 Co1 Ir1'
_cell_length_a 4.383
_cell_length_b 4.383
_cell_length_c 4.383
_cell_angle_alpha 90.00
_cell_angle_beta 90.00
_cell_angle_gamma 90.00
_space_group_name_H-M_alt 'P m -3 m'
_space_group_IT_number 221
_space_group_name_Hall '-P 4 2 3'
loop_
_atom_site_label
_atom_site_type_symbol
_atom_site_fract_x
_atom_site_fract_y
_atom_site_fract_z
Ti1 Ti 0.000 0.000 0.500
Co1 Co 0.000 0.000 0.000
Ir1 Ir 0.500 0.500 0.500
```

Raw total energy (eV per atom): -7.72
Calculated density (Mg/m³): 7.8
V (Å³ per cell): 84.2
Formation energy from the elements (eV per atom): 0.21
Excess energy over the best structure of this formula in the dataset (eV/atom): 0.698

Computed, not measured: a relaxed Ti4Co3Ir crystal at the PBE-GGA level of DFT.

```
data_Ti4Co3Ir
_chemical_formula_sum 'Ti12 Co9 Ir3'
_cell_length_a 4.2747
_cell_length_b 4.2747
_cell_length_c 20.9155
_cell_angle_alpha 90.00
_cell_angle_beta 90.00
_cell_angle_gamma 120.00
_space_group_name_H-M_alt 'R -3 m'
_space_group_IT_number 166
_space_group_name_Hall '-R 3 2"'
loop_
_atom_site_label
_atom_site_type_symbol
_atom_site_fract_x
_atom_site_fract_y
_atom_site_fract_z
Ti1 Ti 0.0000 0.0000 0.1220
Ti2 Ti 0.0000 0.0000 0.3722
Co1 Co 0.0000 0.0000 0.0000
Co2 Co 0.0000 0.0000 0.2496
Ir1 Ir 0.0000 0.0000 0.5000
```

Raw total energy (eV per atom): -8.24
Calculated density (Mg/m³): 8.4
V (Å³ per cell): 331.0
Formation energy from the elements (eV per atom): -0.52

Computed, not measured: a relaxed Ti3CoIr2 crystal at the PBE-GGA level of DFT.

```
data_Ti3CoIr2
_chemical_formula_sum 'Ti12 Co4 Ir8'
_cell_length_a 4.240
_cell_length_b 12.714
_cell_length_c 6.473
_cell_angle_alpha 90.00
_cell_angle_beta 90.00
_cell_angle_gamma 90.00
_space_group_name_H-M_alt 'C m m m'
_space_group_IT_number 65
_space_group_name_Hall '-C 2 2'
loop_
_atom_site_label
_atom_site_type_symbol
_atom_site_fract_x
_atom_site_fract_y
_atom_site_fract_z
Ti1 Ti 0.000 0.000 0.243
Ti2 Ti 0.000 0.330 0.238
Co1 Co 0.000 0.167 0.000
Ir1 Ir 0.000 0.166 0.500
Ir2 Ir 0.000 0.500 0.000
Ir3 Ir 0.000 0.500 0.500
```

Raw total energy (eV per atom): -8.78
Calculated density (Mg/m³): 11.2
V (Å³ per cell): 348.9
Formation energy from the elements (eV per atom): -0.70
Excess energy over the best structure of this formula in the dataset (eV/atom): 0.000

Computed, not measured: a relaxed Ti2Co3Ir3 crystal at the PBE-GGA level of DFT.

```
data_Ti2Co3Ir3
_chemical_formula_sum 'Ti2 Co3 Ir3'
_cell_length_a 3.770
_cell_length_b 3.781
_cell_length_c 7.359
_cell_angle_alpha 90.00
_cell_angle_beta 90.00
_cell_angle_gamma 90.00
_space_group_name_H-M_alt 'P m m m'
_space_group_IT_number 47
_space_group_name_Hall '-P 2 2'
loop_
_atom_site_label
_atom_site_type_symbol
_atom_site_fract_x
_atom_site_fract_y
_atom_site_fract_z
Ti1 Ti 0.000 0.000 0.244
Co1 Co 0.500 0.000 0.000
Co2 Co 0.500 0.500 0.245
Ir1 Ir 0.000 0.500 0.000
Ir2 Ir 0.000 0.500 0.500
Ir3 Ir 0.500 0.000 0.500
```

Raw total energy (eV per atom): -8.45
Calculated density (Mg/m³): 13.4
V (Å³ per cell): 104.9
Formation energy from the elements (eV per atom): -0.49

Computed, not measured: a relaxed Ti4CoIr3 crystal at the PBE-GGA level of DFT.

```
data_Ti4CoIr3
_chemical_formula_sum 'Ti8 Co2 Ir6'
_cell_length_a 4.412
_cell_length_b 4.412
_cell_length_c 12.160
_cell_angle_alpha 90.00
_cell_angle_beta 90.00
_cell_angle_gamma 90.00
_space_group_name_H-M_alt 'I 4/m m m'
_space_group_IT_number 139
_space_group_name_Hall '-I 4 2'
loop_
_atom_site_label
_atom_site_type_symbol
_atom_site_fract_x
_atom_site_fract_y
_atom_site_fract_z
Ti1 Ti 0.000 0.500 0.123
Co1 Co 0.000 0.000 0.000
Ir1 Ir 0.000 0.000 0.241
Ir2 Ir 0.000 0.000 0.500
```

Raw total energy (eV per atom): -8.88
Calculated density (Mg/m³): 11.6
V (Å³ per cell): 236.7
Formation energy from the elements (eV per atom): -0.72

Computed, not measured: a relaxed TiCo2Ir2 crystal at the PBE-GGA level of DFT.

```
data_TiCo2Ir2
_chemical_formula_sum 'Ti2 Co4 Ir4'
_cell_length_a 7.058
_cell_length_b 7.058
_cell_length_c 2.706
_cell_angle_alpha 90.00
_cell_angle_beta 90.00
_cell_angle_gamma 90.00
_space_group_name_H-M_alt 'P 4/m b m'
_space_group_IT_number 127
_space_group_name_Hall '-P 4 2ab'
loop_
_atom_site_label
_atom_site_type_symbol
_atom_site_fract_x
_atom_site_fract_y
_atom_site_fract_z
Ti1 Ti 0.000 0.000 0.000
Co1 Co 0.120 0.380 0.000
Ir1 Ir 0.177 0.677 0.500
```

Raw total energy (eV per atom): -8.14
Calculated density (Mg/m³): 13.6
V (Å³ per cell): 134.8
Formation energy from the elements (eV per atom): -0.18
Excess energy over the best structure of this formula in the dataset (eV/atom): 0.000

Computed, not measured: a relaxed TiCo2Ir2 crystal at the PBE-GGA level of DFT.

```
data_TiCo2Ir2
_chemical_formula_sum 'Ti2 Co4 Ir4'
_cell_length_a 7.135
_cell_length_b 7.135
_cell_length_c 2.723
_cell_angle_alpha 90.00
_cell_angle_beta 90.00
_cell_angle_gamma 90.00
_space_group_name_H-M_alt 'P 4/m b m'
_space_group_IT_number 127
_space_group_name_Hall '-P 4 2ab'
loop_
_atom_site_label
_atom_site_type_symbol
_atom_site_fract_x
_atom_site_fract_y
_atom_site_fract_z
Ti1 Ti 0.000 0.000 0.000
Co1 Co 0.168 0.332 0.500
Ir1 Ir 0.131 0.631 0.000
```

Raw total energy (eV per atom): -8.06
Calculated density (Mg/m³): 13.2
V (Å³ per cell): 138.6
Formation energy from the elements (eV per atom): -0.10
Excess energy over the best structure of this formula in the dataset (eV/atom): 0.083

Computed, not measured: a relaxed TiCoIr6 crystal at the PBE-GGA level of DFT.

```
data_TiCoIr6
_chemical_formula_sum 'Ti1 Co1 Ir6'
_cell_length_a 5.445
_cell_length_b 5.445
_cell_length_c 3.839
_cell_angle_alpha 90.00
_cell_angle_beta 90.00
_cell_angle_gamma 90.00
_space_group_name_H-M_alt 'P 4/m m m'
_space_group_IT_number 123
_space_group_name_Hall '-P 4 2'
loop_
_atom_site_label
_atom_site_type_symbol
_atom_site_fract_x
_atom_site_fract_y
_atom_site_fract_z
Ti1 Ti 0.000 0.000 0.000
Co1 Co 0.500 0.500 0.000
Ir1 Ir 0.000 0.500 0.000
Ir2 Ir 0.255 0.255 0.500
```

Raw total energy (eV per atom): -8.83
Calculated density (Mg/m³): 18.4
V (Å³ per cell): 113.8
Formation energy from the elements (eV per atom): -0.31

Computed, not measured: a relaxed Ti3CoIr2 crystal at the PBE-GGA level of DFT.

```
data_Ti3CoIr2
_chemical_formula_sum 'Ti3 Co1 Ir2'
_cell_length_a 2.962
_cell_length_b 2.962
_cell_length_c 9.895
_cell_angle_alpha 90.00
_cell_angle_beta 90.00
_cell_angle_gamma 90.00
_space_group_name_H-M_alt 'P 4/m m m'
_space_group_IT_number 123
_space_group_name_Hall '-P 4 2'
loop_
_atom_site_label
_atom_site_type_symbol
_atom_site_fract_x
_atom_site_fract_y
_atom_site_fract_z
Ti1 Ti 0.000 0.000 0.000
Ti2 Ti 0.000 0.000 0.347
Co1 Co 0.500 0.500 0.500
Ir1 Ir 0.500 0.500 0.176
```

Raw total energy (eV per atom): -8.78
Calculated density (Mg/m³): 11.2
V (Å³ per cell): 86.8
Formation energy from the elements (eV per atom): -0.69
Excess energy over the best structure of this formula in the dataset (eV/atom): 0.008

Computed, not measured: a relaxed Ti6CoIr crystal at the PBE-GGA level of DFT.

```
data_Ti6CoIr
_chemical_formula_sum 'Ti12 Co2 Ir2'
_cell_length_a 6.138
_cell_length_b 8.647
_cell_length_c 5.493
_cell_angle_alpha 90.00
_cell_angle_beta 106.08
_cell_angle_gamma 90.00
_space_group_name_H-M_alt 'C 1 2/m 1'
_space_group_IT_number 12
_space_group_name_Hall '-C 2y'
loop_
_atom_site_label
_atom_site_type_symbol
_atom_site_fract_x
_atom_site_fract_y
_atom_site_fract_z
Ti1 Ti 0.183 0.191 0.265
Ti2 Ti 0.206 0.500 0.175
Co1 Co 0.000 0.000 0.000
Ir1 Ir 0.000 0.500 0.500
```

Raw total energy (eV per atom): -7.86
Calculated density (Mg/m³): 6.4
V (Å³ per cell): 280.1
Formation energy from the elements (eV per atom): 0.06
Excess energy over the best structure of this formula in the dataset (eV/atom): 0.405

Q: What is the formula in the ninth record?
A: Ti3CoIr2

Q: raw total energy of number 5 (Ti4CoIr3)?
A: -8.88 eV per atom